# 1
Na3Sm3BiS8: relaxed, GGA-PBE.

Values from the calculation:
V in Å³/cell: 1154.91
Raw formation energy in eV per formula unit: -21.8
Crystal system: trigonal
Size of the total moment in μB per atom: 0.000

Cell lengths 8.1175, 8.1175, 20.2390 Å; angles 90.00, 90.00, 120.00 degrees
Space group R-3m (No. 166, hexagonal axes)
One atom of each set of equivalent atoms:
Na (0.0000, 0.5000, 0.0000) x9
Sm (0.0000, 0.5000, 0.5000) x9
Bi (0.0000, 0.0000, 0.5000) x3
S (0.0000, 0.0000, 0.2429) x6
S (0.0076, 0.5038, 0.2424) x18

# 2
Na3SnBi2S6: relaxed, GGA-PBE.

Values from the calculation:
V in Å³/cell: 572.95
Raw formation energy in eV per formula unit: -8.6
Crystal system: monoclinic
Size of the total moment in μB per atom: 0.000

Cell lengths 6.970, 12.083, 7.193 Å; angles 90.00, 108.94, 90.00 degrees
Space group C2/m (No. 12)
One atom of each set of equivalent atoms:
Na (0.000, 0.000, 0.000) x2
Na (0.000, 0.332, 0.000) x4
Sn (0.000, 0.500, 0.500) x2
Bi (0.000, 0.166, 0.500) x4
S (0.241, 0.338, 0.735) x8
S (0.247, 0.500, 0.266) x4

# 3
Na3SrBi2S6: relaxed, GGA-PBE.

Values from the calculation:
V in Å³/cell: 594.13
Raw formation energy in eV per formula unit: -11.4
Crystal system: monoclinic
Size of the total moment in μB per atom: 0.000

Cell lengths 7.095, 12.302, 7.213 Å; angles 90.00, 109.31, 90.00 degrees
Space group C2/m (No. 12)
One atom of each set of equivalent atoms:
Na (0.000, 0.000, 0.000) x2
Na (0.000, 0.332, 0.000) x4
Sr (0.000, 0.500, 0.500) x2
Bi (0.000, 0.167, 0.500) x4
S (0.230, 0.000, 0.741) x4
S (0.245, 0.176, 0.263) x8

# 4
NaSrBiS3: relaxed, GGA-PBE.

Values from the calculation:
V in Å³/cell: 310.79
Raw formation energy in eV per formula unit: -7.2
Crystal system: monoclinic
Size of the total moment in μB per atom: 0.000

Cell lengths 7.299, 4.152, 10.257 Å; angles 90.00, 90.30, 90.00 degrees
Space group P2_1/m (No. 11)
One atom of each set of equivalent atoms:
Na (0.245, 0.250, 0.007) x2
Sr (0.416, 0.750, 0.673) x2
Bi (0.095, 0.750, 0.319) x2
S (0.070, 0.750, 0.824) x2
S (0.246, 0.250, 0.495) x2
S (0.397, 0.750, 0.171) x2

# 5
Na2SrBiS4: relaxed, GGA-PBE.

Values from the calculation:
V in Å³/cell: 798.53
Raw formation energy in eV per formula unit: -8.1
Crystal system: orthorhombic
Size of the total moment in μB per atom: 0.000

Cell lengths 8.065, 8.462, 11.701 Å; angles 90.00, 90.00, 90.00 degrees
Space group Imma (No. 74)
One atom of each set of equivalent atoms:
Na (0.000, 0.000, 0.000) x4
Na (0.250, 0.250, 0.250) x4
Sr (0.000, 0.000, 0.500) x4
Bi (0.250, 0.250, 0.750) x4
S (0.000, 0.016, 0.753) x8
S (0.246, 0.250, 0.985) x8

# 6
NaTaBiS4: relaxed, GGA-PBE.

Values from the calculation:
V in Å³/cell: 753.26
Raw formation energy in eV per formula unit: -4.7
Crystal system: orthorhombic
Size of the total moment in μB per atom: 0.000

Cell lengths 7.265, 11.413, 9.084 Å; angles 90.00, 90.00, 90.00 degrees
Space group Cmcm (No. 63)
One atom of each set of equivalent atoms:
Na (0.000, 0.000, 0.000) x4
Ta (0.000, 0.365, 0.250) x4
Bi (0.000, 0.309, 0.750) x4
S (0.000, 0.248, 0.048) x8
S (0.243, 0.496, 0.250) x8

# 7
Na2TbBiS4: relaxed, GGA-PBE.

Values from the calculation:
V in Å³/cell: 190.70
Raw formation energy in eV per formula unit: -10.4
Crystal system: monoclinic
Size of the total moment in μB per atom: 0.000

Cell lengths 7.022, 4.037, 7.119 Å; angles 90.00, 109.07, 90.00 degrees
Space group P2/m (No. 10)
One atom of each set of equivalent atoms:
Na (0.000, 0.000, 0.000) x1
Na (0.500, 0.500, 0.000) x1
Tb (0.000, 0.500, 0.500) x1
Bi (0.500, 0.000, 0.500) x1
S (0.237, 0.000, 0.729) x2
S (0.249, 0.500, 0.266) x2

# 8
Na3TbBi2S6: relaxed, GGA-PBE.

Values from the calculation:
V in Å³/cell: 576.76
Raw formation energy in eV per formula unit: -13.4
Crystal system: monoclinic
Size of the total moment in μB per atom: 0.000

Cell lengths 7.024, 12.172, 7.141 Å; angles 90.00, 109.16, 90.00 degrees
Space group C2/m (No. 12)
One atom of each set of equivalent atoms:
Na (0.000, 0.000, 0.000) x2
Na (0.000, 0.329, 0.000) x4
Tb (0.000, 0.500, 0.500) x2
Bi (0.000, 0.166, 0.500) x4
S (0.241, 0.337, 0.733) x8
S (0.249, 0.500, 0.266) x4

# 9
NaTcBiS2: relaxed, GGA-PBE.

Values from the calculation:
V in Å³/cell: 119.85
Raw formation energy in eV per formula unit: 5.8
Crystal system: tetragonal
Size of the total moment in μB per atom: 0.794

Cell lengths 4.891, 4.891, 5.009 Å; angles 90.00, 90.00, 90.00 degrees
Space group P4/mmm (No. 123)
One atom of each set of equivalent atoms:
Na (0.000, 0.000, 0.000) x1
Tc (0.000, 0.000, 0.500) x1
Bi (0.500, 0.500, 0.500) x1
S (0.000, 0.500, 0.000) x2

# 10
NaBiTeS: relaxed, GGA-PBE.

Values from the calculation:
V in Å³/cell: 353.07
Raw formation energy in eV per formula unit: -2.3
Crystal system: trigonal
Size of the total moment in μB per atom: 0.000

Cell lengths 4.2273, 4.2273, 22.8127 Å; angles 90.00, 90.00, 120.00 degrees
Space group R3m (No. 160, hexagonal axes)
One atom of each set of equivalent atoms:
Na (0.0000, 0.0000, 0.0000) x3
Bi (0.0000, 0.0000, 0.1492) x3
Te (0.0000, 0.0000, 0.5666) x3
S (0.0000, 0.0000, 0.7455) x3

# 11
Na2ThBiS4: relaxed, GGA-PBE.

Values from the calculation:
V in Å³/cell: 211.54
Raw formation energy in eV per formula unit: -9.5
Crystal system: monoclinic
Size of the total moment in μB per atom: 0.123

Cell lengths 7.315, 4.091, 7.918 Å; angles 90.00, 116.80, 90.00 degrees
Space group P2/m (No. 10)
One atom of each set of equivalent atoms:
Na (0.000, 0.000, 0.000) x1
Na (0.000, 0.500, 0.500) x1
Th (0.500, 0.000, 0.500) x1
Bi (0.500, 0.500, 0.000) x1
S (0.238, 0.500, 0.286) x2
S (0.298, 0.000, 0.730) x2

# 12
Na4ThBi3S8: relaxed, GGA-PBE.

Values from the calculation:
V in Å³/cell: 1199.78
Raw formation energy in eV per formula unit: -15.6
Crystal system: trigonal
Size of the total moment in μB per atom: 0.000

Cell lengths 8.3355, 8.3355, 19.9402 Å; angles 90.00, 90.00, 120.00 degrees
Space group R-3m (No. 166, hexagonal axes)
One atom of each set of equivalent atoms:
Na (0.0000, 0.0000, 0.0000) x3
Na (0.0000, 0.5000, 0.0000) x9
Th (0.0000, 0.0000, 0.5000) x3
Bi (0.0000, 0.5000, 0.5000) x9
S (0.0000, 0.0000, 0.2439) x6
S (0.0073, 0.5036, 0.2440) x18

# 13
Na4TiBi3S8: relaxed, GGA-PBE.

Values from the calculation:
V in Å³/cell: 1112.28
Raw formation energy in eV per formula unit: -13.7
Crystal system: trigonal
Size of the total moment in μB per atom: 0.063

Cell lengths 7.9853, 7.9853, 20.1421 Å; angles 90.00, 90.00, 120.00 degrees
Space group R-3m (No. 166, hexagonal axes)
One atom of each set of equivalent atoms:
Na (0.0000, 0.0000, 0.0000) x3
Na (0.0000, 0.5000, 0.0000) x9
Ti (0.0000, 0.0000, 0.5000) x3
Bi (0.0000, 0.5000, 0.5000) x9
S (0.0000, 0.0000, 0.2480) x6
S (0.0268, 0.5134, 0.2401) x18

# 14
Na3TiBi2S6: relaxed, GGA-PBE.

Values from the calculation:
V in Å³/cell: 544.67
Raw formation energy in eV per formula unit: -10.8
Crystal system: monoclinic
Size of the total moment in μB per atom: 0.083

Cell lengths 6.867, 11.912, 7.051 Å; angles 90.00, 109.18, 90.00 degrees
Space group C2/m (No. 12)
One atom of each set of equivalent atoms:
Na (0.000, 0.000, 0.000) x2
Na (0.000, 0.328, 0.000) x4
Ti (0.000, 0.500, 0.500) x2
Bi (0.000, 0.166, 0.500) x4
S (0.227, 0.348, 0.724) x8
S (0.228, 0.500, 0.278) x4

# 15
NaTiBi2S: relaxed, GGA-PBE.

Values from the calculation:
V in Å³/cell: 145.51
Raw formation energy in eV per formula unit: 0.1
Crystal system: tetragonal
Size of the total moment in μB per atom: 0.000

Cell lengths 5.713, 5.713, 4.459 Å; angles 90.00, 90.00, 90.00 degrees
Space group P4/mmm (No. 123)
One atom of each set of equivalent atoms:
Na (0.000, 0.000, 0.000) x1
Ti (0.500, 0.500, 0.000) x1
Bi (0.000, 0.500, 0.500) x2
S (0.500, 0.500, 0.500) x1

# 16
Na2TlBiS4: relaxed, GGA-PBE.

Values from the calculation:
V in Å³/cell: 461.53
Raw formation energy in eV per formula unit: -4.7
Crystal system: orthorhombic
Size of the total moment in μB per atom: 0.000

Cell lengths 9.713, 7.886, 6.025 Å; angles 90.00, 90.00, 90.00 degrees
Space group Pmn2_1 (No. 31)
One atom of each set of equivalent atoms:
Na (0.247, 0.174, 0.000) x4
Tl (0.000, 0.333, 0.530) x2
Bi (0.000, 0.682, 0.024) x2
S (0.000, 0.361, 0.978) x2
S (0.000, 0.660, 0.459) x2
S (0.231, 0.187, 0.484) x4

# 17
Na3TlBi2S6: relaxed, GGA-PBE.

Values from the calculation:
V in Å³/cell: 574.46
Raw formation energy in eV per formula unit: -8.0
Crystal system: monoclinic
Size of the total moment in μB per atom: 0.000

Cell lengths 6.978, 12.095, 7.192 Å; angles 90.00, 108.84, 90.00 degrees
Space group C2/m (No. 12)
One atom of each set of equivalent atoms:
Na (0.000, 0.000, 0.000) x2
Na (0.000, 0.333, 0.000) x4
Tl (0.000, 0.500, 0.500) x2
Bi (0.000, 0.167, 0.500) x4
S (0.242, 0.337, 0.735) x8
S (0.248, 0.500, 0.266) x4

# 18
NaTl3Bi2S6: relaxed, GGA-PBE.

Values from the calculation:
V in Å³/cell: 616.05
Raw formation energy in eV per formula unit: -4.9
Crystal system: monoclinic
Size of the total moment in μB per atom: 0.000

Cell lengths 7.192, 12.433, 7.300 Å; angles 90.00, 109.31, 90.00 degrees
Space group C2/m (No. 12)
One atom of each set of equivalent atoms:
Na (0.000, 0.000, 0.000) x2
Tl (0.000, 0.160, 0.500) x4
Tl (0.000, 0.500, 0.500) x2
Bi (0.000, 0.332, 0.000) x4
S (0.230, 0.500, 0.220) x4
S (0.247, 0.328, 0.766) x8

# 19
NaTlBiS3: relaxed, GGA-PBE.

Values from the calculation:
V in Å³/cell: 298.98
Raw formation energy in eV per formula unit: -3.1
Crystal system: monoclinic
Size of the total moment in μB per atom: 0.000

Cell lengths 7.174, 4.093, 10.183 Å; angles 90.00, 90.51, 90.00 degrees
Space group P2_1/m (No. 11)
One atom of each set of equivalent atoms:
Na (0.246, 0.250, 0.498) x2
Tl (0.080, 0.750, 0.172) x2
Bi (0.413, 0.750, 0.822) x2
S (0.092, 0.750, 0.673) x2
S (0.268, 0.250, 0.995) x2
S (0.424, 0.750, 0.327) x2

# 20
Na2TmBiS4: relaxed, GGA-PBE.

Values from the calculation:
V in Å³/cell: 187.36
Raw formation energy in eV per formula unit: -10.4
Crystal system: monoclinic
Size of the total moment in μB per atom: 0.000

Cell lengths 6.972, 3.996, 7.110 Å; angles 90.00, 108.95, 90.00 degrees
Space group P2/m (No. 10)
One atom of each set of equivalent atoms:
Na (0.000, 0.000, 0.000) x1
Na (0.500, 0.500, 0.000) x1
Tm (0.000, 0.500, 0.500) x1
Bi (0.500, 0.000, 0.500) x1
S (0.233, 0.000, 0.725) x2
S (0.244, 0.500, 0.267) x2